This record from Alexandria via LeMat-Bulk describes a relaxed BaCd4In crystal. The functional is PBE-GGA.

Summary:
Total energy: -0.0573 hartree per atom
E_form: -0.171 eV/atom
Space-group type: Pbam, No. 55
Distance to the lowest polymorph of the same formula: 0.037 eV per atom

Unit cell a=9.4918 b=18.7866 c=3.9338 alpha=90.00 beta=90.00 gamma=90.00
Fractional coordinates of all 24 atoms:
Ba 0.1238 0.1544 0.0000
Ba 0.3762 0.6544 0.0000
Ba 0.6238 0.3456 0.0000
Ba 0.8762 0.8456 0.0000
Cd 0.0224 0.6940 0.5000
Cd 0.1248 0.9601 0.5000
Cd 0.1264 0.5495 0.5000
Cd 0.2122 0.8084 0.5000
Cd 0.2878 0.3084 0.5000
Cd 0.3736 0.0495 0.5000
Cd 0.3752 0.4601 0.5000
Cd 0.4776 0.1940 0.5000
Cd 0.5224 0.8060 0.5000
Cd 0.6248 0.5399 0.5000
Cd 0.6264 0.9505 0.5000
Cd 0.7122 0.6916 0.5000
Cd 0.7878 0.1916 0.5000
Cd 0.8736 0.4505 0.5000
Cd 0.8752 0.0399 0.5000
Cd 0.9776 0.3060 0.5000
In 0.1331 0.4117 0.0000
In 0.3669 0.9117 0.0000
In 0.6331 0.0883 0.0000
In 0.8669 0.5883 0.0000